# 1
This record from Alexandria via LeMat-Bulk describes a relaxed structure of Ac2Al3Ga4. The functional is PBE.

Values from the calculation:
E_form	-0.3989	eV per atom
SG	Cmce, No. 64
calculated density	6.67	g/cm³
spin magnetization	0.00	μB per cell
calculated total energy	-70.28	eV per cell

The structure in POSCAR format:
```
Ac2Al3Ga4
1.0
6.103 0.000 0.000
0.000 8.246 0.000
-3.051 0.000 8.053
Ac Al Ga
4 6 8
Cartesian
0.000 4.833 1.836
3.051 3.413 6.217
0.000 0.710 6.217
3.051 7.536 1.836
0.000 0.000 0.000
3.051 4.123 0.000
1.526 6.185 4.562
4.577 2.062 3.491
1.526 2.062 3.491
-1.526 6.185 4.562
1.526 6.185 7.182
4.577 2.062 0.871
1.526 2.062 0.871
-1.526 6.185 7.182
0.000 7.986 2.968
3.051 0.260 5.085
0.000 3.863 5.085
3.051 4.383 2.968
```

***

# 2
This record from Alexandria via LeMat-Bulk describes a relaxed structure of Ac3Al2Ga3. The functional is PBE.

Values from the calculation:
E_form	-0.4965	eV per atom
SG	Cmcm, No. 63
calculated density	7.27	g/cm³
spin magnetization	0.00	μB per cell
calculated total energy	-65.73	eV per cell

The structure in POSCAR format:
```
Ac3Al2Ga3
1.0
4.566 0.000 0.000
-2.283 6.085 0.000
0.000 0.000 15.520
Ac Al Ga
6 4 6
Cartesian
2.283 5.225 6.101
0.000 0.860 13.861
2.283 5.225 1.659
0.000 0.860 9.418
2.283 1.701 3.880
0.000 4.384 11.640
2.283 3.350 13.948
0.000 2.735 6.188
2.283 3.350 9.332
0.000 2.735 1.572
2.283 1.713 7.151
0.000 4.373 14.911
2.283 1.713 0.609
0.000 4.373 8.369
0.000 4.254 3.880
2.283 1.831 11.640
```

***

# 3
This record from Alexandria via LeMat-Bulk describes a relaxed structure of AcAlGa4. The functional is PBE.

Values from the calculation:
E above lowest polymorph	0.00	kJ per mole of atoms
E_form	-0.2624	eV per atom
SG	Cmmm, No. 65
calculated density	6.66	g/cm³
spin magnetization	0.00	μB per cell
calculated total energy	-43.07	eV per cell

The structure in POSCAR format:
```
AcAlGa4
1.0
-1.484 3.518 -1.259
-6.226 -3.959 -3.724
-2.783 1.556 7.625
Ac Al Ga
2 2 8
Cartesian
-3.822 -0.108 4.201
-5.188 -2.295 -0.300
-7.351 -1.960 3.183
-1.659 -0.442 0.718
-8.232 -0.962 0.592
-2.262 2.077 2.049
-7.148 0.774 4.164
-3.346 0.341 -1.523
-4.142 0.852 0.842
-6.351 0.263 1.799
-3.843 2.806 5.947
-6.650 -1.690 -3.306
```